First-principles (PBE-GGA) data for a geometry-optimized Mg2CdAg8 structure, as listed in Alexandria.

The structure belongs to space group C2/m (No. 12); the cell edges are 7.753, 13.081 and 5.107 Å and the angles 90.00°, 124.85° and 90.00°. Symmetry generates all atoms from Mg at (0.000, 0.192, 0.000), Cd at (0.000, 0.500, 0.500), Ag at (0.000, 0.284, 0.500), Ag at (0.085, 0.000, 0.317) and Ag at (0.213, 0.383, 0.124).

Its energy above the lowest structure with this stoichiometry is 66.7 meV/atom. The volume is 425.04 Å³/cell. For the calculated formation energy, the calculation gives 0.00 eV/atom. The value obtained for the total energy is -2.45 eV per atom.

First-principles (PBE-GGA) data for a geometry-optimized PmPr2Eu structure, as listed in Alexandria.

The structure belongs to space group Fm-3m (No. 225); the cell edges are 8.377, 8.377 and 8.377 Å and the angles 90.00°, 90.00° and 90.00°. Symmetry generates all atoms from Pm at (0.000, 0.000, 0.000), Pr at (0.250, 0.250, 0.250) and Eu at (0.000, 0.000, 0.500).

Its energy above the lowest structure with this stoichiometry is 72.3 meV/atom. The volume is 587.88 Å³/cell. For the calculated formation energy, the calculation gives 0.13 eV/atom. The value obtained for the total energy is -6.02 eV per atom.

First-principles (PBE-GGA) data for a geometry-optimized InSnTeC2 structure, as listed in Alexandria.

The structure belongs to space group P4/mmm (No. 123); the cell edges are 4.381, 4.381 and 6.302 Å and the angles 90.00°, 90.00° and 90.00°. Symmetry generates all atoms from In at (0.000, 0.000, 0.000), Sn at (0.000, 0.000, 0.500), Te at (0.500, 0.500, 0.500) and C at (0.000, 0.500, 0.000).

The volume is 120.95 Å³/cell. The value obtained for the total energy is -3.56 eV per atom. As for the formation energy from raw total energies: 2105 meV per atom.

First-principles (PBE-GGA) data for a geometry-optimized Tb19Dy6Y4 structure, as listed in Alexandria.

The structure belongs to space group I23 (No. 197); the cell edges are 12.474, 12.474 and 12.474 Å and the angles 90.00°, 90.00° and 90.00°. Symmetry generates all atoms from Tb at (0.000, 0.000, 0.000), Tb at (0.000, 0.000, 0.261), Tb at (0.063, 0.279, 0.739), Dy at (0.000, 0.127, 0.500) and Y at (0.179, 0.179, 0.179).

The volume is 1941.03 Å³/cell. For the calculated formation energy, the calculation gives 0.39 eV/atom. The value obtained for the total energy is -4.49 eV per atom.

First-principles (PBE-GGA) data for a geometry-optimized Hf6Al3Tc structure, as listed in Alexandria.

The structure belongs to space group P2_1/m (No. 11); the cell edges are 8.098, 4.868 and 10.370 Å and the angles 90.00°, 109.59° and 90.00°. Symmetry generates all atoms from Hf at (0.041, 0.250, 0.417), Hf at (0.164, 0.750, 0.178), Hf at (0.263, 0.250, 0.006), Hf at (0.351, 0.750, 0.803), Hf at (0.353, 0.250, 0.321), Hf at (0.428, 0.250, 0.625), Al at (0.037, 0.750, 0.879), Al at (0.126, 0.250, 0.715), Al at (0.271, 0.750, 0.476) and Tc at (0.454, 0.750, 0.094).

The volume is 385.18 Å³/cell. For the calculated formation energy, the calculation gives -0.32 eV/atom. The value obtained for the total energy is -8.45 eV per atom.

First-principles (PBE-GGA) data for a geometry-optimized BaRuCl2 structure, as listed in Alexandria.

The structure belongs to space group Pm (No. 6); the cell edges are 4.802, 4.595 and 4.821 Å and the angles 90.00°, 101.57° and 90.00°. Symmetry generates all atoms from Ba at (0.000, 0.000, 0.000), Ru at (0.668, 0.500, 0.498), Cl at (0.190, 0.500, 0.606) and Cl at (0.590, 0.000, 0.401).

Its energy above the lowest structure with this stoichiometry is 29.2 meV/atom. The volume is 104.22 Å³/cell. The value obtained for the total energy is -4.47 eV per atom. As for the formation energy from raw total energies: -744 meV per atom.

First-principles (PBE-GGA) data for a geometry-optimized CeCr2CN structure, as listed in Alexandria.

The structure belongs to space group Cmcm (No. 63); the cell edges are 3.281, 10.371 and 6.926 Å and the angles 90.00°, 90.00° and 90.00°. Symmetry generates all atoms from Ce at (0.000, 0.038, 0.250), Cr at (0.000, 0.317, 0.064), C at (0.000, 0.243, 0.750) and N at (0.000, 0.500, 0.000).

The volume is 235.65 Å³/cell. The value obtained for the total energy is -9.07 eV per atom. As for the formation energy from raw total energies: -529 meV per atom.

First-principles (PBE-GGA) data for a geometry-optimized Cu5Re structure, as listed in Alexandria.

The structure belongs to space group Amm2 (No. 38); the cell edges are 4.314, 2.554 and 13.743 Å and the angles 90.00°, 90.00° and 90.00°. Symmetry generates all atoms from Cu at (0.000, 0.000, 0.000), Cu at (0.000, 0.000, 0.330), Cu at (0.000, 0.000, 0.667), Cu at (0.500, 0.000, 0.112), Cu at (0.500, 0.000, 0.773) and Re at (0.500, 0.000, 0.442).

Its energy above the lowest structure with this stoichiometry is 8.1 meV/atom. The volume is 151.41 Å³/cell. For the calculated formation energy, the calculation gives 0.21 eV/atom. The value obtained for the total energy is -5.27 eV per atom.

First-principles (PBE-GGA) data for a geometry-optimized SrBiTe2I structure, as listed in Alexandria.

The structure belongs to space group P4/mmm (No. 123); the cell edges are 6.224, 6.224 and 5.974 Å and the angles 90.00°, 90.00° and 90.00°. Symmetry generates all atoms from Sr at (0.000, 0.000, 0.000), Bi at (0.500, 0.500, 0.500), Te at (0.000, 0.500, 0.000) and I at (0.000, 0.000, 0.500).

Its energy above the lowest structure with this stoichiometry is 490.1 meV/atom. The volume is 231.42 Å³/cell. The value obtained for the total energy is -2.64 eV per atom. As for the formation energy from raw total energies: 43 meV per atom.

First-principles (PBE-GGA) data for a geometry-optimized Nd4Y8Tm structure, as listed in Alexandria.

The structure belongs to space group R-3m (No. 166, hexagonal axes); the cell edges are 11.0865, 11.0865 and 13.5597 Å and the angles 90.00°, 90.00° and 120.00°. Symmetry generates all atoms from Nd at (0.0000, 0.0000, 0.0000), Nd at (0.0000, 0.5000, 0.0000), Y at (0.0000, 0.0000, 0.2408), Y at (0.0118, 0.5059, 0.7468) and Tm at (0.0000, 0.0000, 0.5000).

The volume is 1443.35 Å³/cell. For the calculated formation energy, the calculation gives 0.51 eV/atom. The value obtained for the total energy is -5.28 eV per atom.

First-principles (PBE-GGA) data for a geometry-optimized Sm2DyCd2In2 structure, as listed in Alexandria.

The structure belongs to space group R-3m (No. 166, hexagonal axes); the cell edges are 4.9512, 4.9512 and 27.2989 Å and the angles 90.00°, 90.00° and 120.00°. Symmetry generates all atoms from Sm at (0.0000, 0.0000, 0.1276), Dy at (0.0000, 0.0000, 0.0000), Cd at (0.0000, 0.0000, 0.3937) and In at (0.0000, 0.0000, 0.2618).

The volume is 579.56 Å³/cell. For the calculated formation energy, the calculation gives -0.27 eV/atom. The value obtained for the total energy is -3.32 eV per atom.